1.
TiIn2BiS: relaxed, PBE.

a = 5.7535 Å, b = 5.7535 Å, c = 5.2567 Å
α = 90.00°, β = 90.00°, γ = 90.00°
Last column: nearest neighbours and their distance in Å.
Atoms (fractional coordinates):
Ti  0.0000  0.0000  0.0000  8 In 3.90, 4 S 4.07
In  0.0000  0.5000  0.5000  2 Bi 2.88
In  0.5000  0.0000  0.5000  2 Bi 2.88
Bi  0.5000  0.5000  0.5000  2 S 2.63, 4 In 2.88
S  0.5000  0.5000  0.0000  2 Bi 2.63

Properties
**Symmetry**: P4/mmm, No. 123


2.
Tl3InBi3S8: relaxed, PBE.

a = 8.1116 Å, b = 8.1170 Å, c = 8.6609 Å
α = 62.19°, β = 62.12°, γ = 60.05°
Last column: nearest neighbours and their distance in Å.
Atoms (fractional coordinates):
Tl  0.0000  0.0000  0.0000  6 S 3.11-3.13
Tl  0.0000  0.5000  0.0000  6 S 3.10-3.13
Tl  0.5000  0.0000  0.0000  6 S 3.11-3.13
In  0.0000  0.0000  0.5000  6 S 2.69
Bi  0.0000  0.5000  0.5000  6 S 2.84
Bi  0.5000  0.0000  0.5000  6 S 2.84
Bi  0.5000  0.5000  0.5000  6 S 2.84
S  0.2277  0.2275  0.2924  1 In 2.69, 2 Bi 2.84
S  0.2276  0.7521  0.2925  1 In 2.69, 2 Bi 2.84
S  0.2478  0.7725  0.7075  1 In 2.69, 2 Bi 2.84
S  0.2599  0.2600  0.7204  3 Bi 2.84, 3 Tl 3.10-3.11
S  0.7401  0.7400  0.2796  3 Bi 2.84, 3 Tl 3.10-3.11
S  0.7522  0.2275  0.2925  1 In 2.69, 2 Bi 2.84
S  0.7724  0.2479  0.7075  1 In 2.69, 2 Bi 2.84
S  0.7723  0.7725  0.7076  1 In 2.69, 2 Bi 2.84

Properties
**Symmetry**: P-1, No. 2


3.
YIn2BiS: relaxed, PBE.

a = 5.7529 Å, b = 5.7529 Å, c = 5.2904 Å
α = 90.00°, β = 90.00°, γ = 90.00°
Last column: nearest neighbours and their distance in Å.
Atoms (fractional coordinates):
Y  0.0000  0.0000  0.0000  8 In 3.91, 4 S 4.07
In  0.0000  0.5000  0.5000  2 Bi 2.88
In  0.5000  0.0000  0.5000  2 Bi 2.88
Bi  0.5000  0.5000  0.5000  2 S 2.65, 4 In 2.88
S  0.5000  0.5000  0.0000  2 Bi 2.65

Properties
**Symmetry**: P4/mmm, No. 123


Number 1: raw formation energy 1.082 eV/atom, magnetization 0.000 μB per atom. Number 2: raw formation energy -0.385 eV/atom, magnetization 0.000 μB per atom. Number 3: raw formation energy 0.463 eV/atom, magnetization 0.000 μB per atom.